Entry 1:
An optimized crystal structure of LiPa4PbN8. Source: Alexandria, functional PBE.

a b c (Å): 7.1825 7.1825 15.1437
angles (deg): 90.00 90.00 120.00
Space group R3m (No. 160, hexagonal axes)
Unique sites:
1 Li 0.0000 0.0000 0.0000 [3 per cell]
2 Pa 0.0000 0.0000 0.4025 [3 per cell]
3 Pa 0.9997 0.4999 0.5026 [9 per cell]
4 Pb 0.0000 0.0000 0.6187 [3 per cell]
5 N 0.0000 0.0000 0.2507 [3 per cell]
6 N 0.0000 0.0000 0.7660 [3 per cell]
7 N 0.0167 0.5083 0.7596 [9 per cell]
8 N 0.1823 0.3646 0.5665 [9 per cell]

Calculated values
Total energy, eV/f.u.: -125.3
Total magnetic moment, μB/cell: 0.000
E_form (uncorrected), eV/f.u.: -15.1

***

Entry 2:
An optimized crystal structure of LiPa2PdN4. Source: Alexandria, functional PBE.

a b c (Å): 4.9185 4.9185 8.7176
angles (deg): 90.00 90.00 90.00
Space group I4/mmm (No. 139)
Unique sites:
1 Li 0.0000 0.0000 0.0000 [2 per cell]
2 Pa 0.0000 0.5000 0.2500 [4 per cell]
3 Pd 0.0000 0.0000 0.5000 [2 per cell]
4 N 0.0000 0.0000 0.2493 [4 per cell]
5 N 0.0000 0.5000 0.0000 [4 per cell]

Calculated values
Total energy, eV/f.u.: -67.6
Total magnetic moment, μB/cell: 0.000
E_form (uncorrected), eV/f.u.: -8.2

***

Entry 3:
An optimized crystal structure of LiPm3Pa2N6. Source: Alexandria, functional PBE.

a b c (Å): 6.0991 10.5565 6.1624
angles (deg): 90.00 109.10 90.00
Space group C2/m (No. 12)
Unique sites:
1 Li 0.0000 0.0000 0.0000 [2 per cell]
2 Pm 0.0000 0.1616 0.5000 [4 per cell]
3 Pm 0.0000 0.5000 0.5000 [2 per cell]
4 Pa 0.0000 0.3328 0.0000 [4 per cell]
5 N 0.2132 0.5000 0.2269 [4 per cell]
6 N 0.2412 0.3185 0.7691 [8 per cell]

Calculated values
Total energy, eV/f.u.: -102.2
Total magnetic moment, μB/cell: 0.000
E_form (uncorrected), eV/f.u.: -17.1